DFT (PBE-GGA) results for NaTi2IO8 after structural relaxation.

a = 4.674 Å, b = 4.672 Å, c = 6.346 Å
α = 89.97°, β = 89.97°, γ = 86.96°
Atoms (fractional coordinates):
Na 0.000 0.000 0.500
Ti 0.500 0.500 0.726
Ti 0.500 0.500 0.274
I 0.000 0.000 0.000
O 0.204 0.796 0.217
O 0.719 0.720 0.000
O 0.796 0.204 0.217
O 0.796 0.204 0.783
O 0.281 0.280 0.000
O 0.204 0.796 0.783
O 0.675 0.676 0.500
O 0.325 0.324 0.500

formation energy (no corrections): -1.77 eV per atom
raw total energy: -79.5 eV for the cell shown
total moment: 0.00 μB/f.u.